First-principles (PBE) data for a relaxed CdSiOs2 crystal, as listed in Alexandria.

E_form (uncorrected)	60.7	kJ/mol of atoms
DFT total energy	-6.57	eV/atom
total magnetization	0.000	μB per formula unit
symmetry	No. 12

The structure in extended XYZ format:
```
4
Lattice="-0.4876 4.5767 -1.9735 -3.5843 -3.6075 -1.2217 -2.2082 0.5690 1.6752" Properties=species:S:1:pos:R:3 pbc="T T T"
Cd -2.0359 0.4846 -1.5976
Os 0.0000 0.0000 0.0000
Os -1.3479 2.5729 -0.1492
Si -2.8963 -1.5192 0.2267
```